Entry from Alexandria: Li3CoO after structural relaxation (PBE with a Hubbard U).

Cell: 3.957 3.957 3.957 Å, 90.00 90.00 90.00°
Space group Pm-3m (No. 221)
Symmetry-distinct sites (fractional):
Li 0.000 0.000 0.500 (multiplicity 3)
Co 0.500 0.500 0.500 (multiplicity 1)
O 0.000 0.000 0.000 (multiplicity 1)

ΔE to the lowest computed polymorph = 0 meV per atom
N(E_F) = 5.480 states/eV per cell
Crystal system = cubic
E_tot = -18.2 eV/cell
Total magnetization = 2.055 μB/f.u.